The following is a DFT calculation (GGA-PBE) of an optimized crystal structure of ZnCdRh2.

Values from the calculation:
The formation energy is -142 meV/atom.

Lattice parameters (Å, degrees): 10.097 2.873 4.726 90.00 114.80 90.00
Space group Cm (No. 8)
One atom of each set of equivalent atoms:
Zn 0.000 0.000 0.000
Cd 0.233 0.000 0.594
Rh 0.246 0.500 0.098
Rh 0.479 0.000 0.492